VASP calculation (PBE+U) on a relaxed structure of Na4NpCo3O8.

Geometry as POSCAR:
```
Na4NpCo3O8
1.0
-5.925 1.739 -1.240
-2.051 -6.129 1.201
3.299 3.004 4.446
Na O Co Np
4 8 3 1
direct
0.500 0.000 0.000 Na
0.500 0.000 0.500 Na
0.000 0.000 0.000 Na
0.000 0.000 0.500 Na
0.231 0.717 0.461 O
0.273 0.318 0.545 O
0.769 0.283 0.014 O
0.231 0.717 0.986 O
0.769 0.283 0.539 O
0.727 0.682 0.455 O
0.244 0.283 0.014 O
0.756 0.717 0.986 O
0.500 0.500 0.000 Co
0.000 0.500 0.500 Co
0.500 0.500 0.500 Co
0.000 0.500 0.000 Np
```

- E_tot (eV/atom) = -6.31